A plane-wave DFT calculation with GGA-PBE was carried out for a relaxed structure of Rb2AlCuP2.

Cell and atoms, written as extended XYZ:
```
12
Lattice="5.7176 0.0000 0.0000 0.0000 5.8766 0.0000 -2.8588 -2.9383 10.8224" Properties=species:S:1:pos:R:3 pbc="T T T"
P 1.3858 0.0000 9.4769
Al 2.8588 4.4074 0.0000
P 1.4730 2.9383 1.3455
Cu 0.0000 1.4691 0.0000
Rb 1.3696 0.0000 3.0183
P -1.3858 2.9383 9.4769
Rb -1.4892 0.0000 7.8041
Rb 4.3480 2.9383 3.0183
Cu 0.0000 4.4074 0.0000
Rb 1.4892 2.9383 7.8041
P 4.2445 0.0000 1.3455
Al 2.8588 1.4691 0.0000
```

---

A plane-wave DFT calculation with GGA-PBE was carried out for a relaxed structure of AlCuP2Se6.

Calculated values
Formation energy without anion corrections, eV per atom: -0.2850

Cell and atoms, written as extended XYZ:
```
10
Lattice="8.2606 0.1939 0.1264 5.7319 5.9515 0.1264 5.7319 2.5174 5.3943" Properties=species:S:1:pos:R:3 pbc="T T T"
Se 12.2208 3.0077 3.1682
Se 11.2969 6.2162 1.4734
Se 8.3589 2.5704 4.2582
Se 7.5484 5.6781 2.3219
Se 10.4834 5.7090 5.0929
P 10.8501 4.7652 3.1064
Cu 16.3967 7.2013 4.6944
Al 3.2982 1.4485 0.9443
Se 9.2883 2.8171 0.6334
P 8.8806 3.9003 2.5425
```

---

A plane-wave DFT calculation with GGA-PBE was carried out for a relaxed structure of AlCuSiP.

Calculated values
Formation energy without anion corrections, eV per atom: 0.0294
Distance to the lowest polymorph of the same formula, meV per atom: 58

Cell and atoms, written as extended XYZ:
```
8
Lattice="-1.6674 3.4490 -1.9692 -2.8954 -0.2447 2.0230 5.8401 2.7281 8.6886" Properties=species:S:1:pos:R:3 pbc="T T T"
Al 3.8493 2.4769 8.9072
Cu 3.1626 4.5202 5.0732
Cu -1.2051 3.0338 1.7405
P 3.5798 2.1226 5.3803
Si 2.4837 3.3474 7.0581
Al 2.3769 1.2352 3.5514
P -0.7880 0.6362 2.0475
Si 1.0114 2.1057 1.7023
```

---

A plane-wave DFT calculation with GGA-PBE was carried out for a relaxed structure of AlCuSiP.

Calculated values
Formation energy without anion corrections, eV per atom: 0.0691
Distance to the lowest polymorph of the same formula, meV per atom: 98

Cell and atoms, written as extended XYZ:
```
8
Lattice="2.5665 0.0000 0.0000 0.0000 4.4221 0.0000 0.0000 0.0000 10.9481" Properties=species:S:1:pos:R:3 pbc="T T T"
Al 0.0000 0.0000 5.7913
P 1.2832 2.2110 8.4831
Cu 1.2832 2.2110 6.0719
P 0.0000 0.0000 3.0091
Si 0.0000 2.2110 3.9588
Cu 0.0000 0.0000 0.5978
Al 1.2832 2.2110 0.3173
Si 1.2832 0.0000 9.4328
```

---

no.,raw total energy (eV per atom)
1,-3.84
2,-4.24
3,-4.64
4,-4.60